1.
Compound: FeTc2W
Source: Alexandria via LeMat-Bulk
Functional: PBE
Structure: optimized geometry

**N(E_F)**: 0.94 states/eV/atom
**Formation energy from the elements**: 0.074 eV per atom

a b c (Å): 3.114 3.114 5.961
angles (deg): 90.00 90.00 90.00
Space group P4/mmm (No. 123)
Asymmetric unit:
Fe  0.000  0.000  0.000 (multiplicity 1)
Tc  0.500  0.500  0.240 (multiplicity 2)
W  0.000  0.000  0.500 (multiplicity 1)



2.
Compound: MnCo2HPt
Source: Alexandria via LeMat-Bulk
Functional: PBE
Structure: optimized geometry

**Distance to the lowest polymorph of the same formula**: 72 meV per atom
**N(E_F)**: 1.38 states/eV/atom

a b c (Å): 3.707 3.707 3.880
angles (deg): 90.00 90.00 90.00
Space group P4/mmm (No. 123)
Asymmetric unit:
Mn  0.000  0.000  0.000 (multiplicity 1)
Co  0.000  0.500  0.500 (multiplicity 2)
H  0.500  0.500  0.500 (multiplicity 1)
Pt  0.500  0.500  0.000 (multiplicity 1)



3.
Compound: Sm2Er7Tm2
Source: Alexandria via LeMat-Bulk
Functional: PBE
Structure: optimized geometry

**Distance to the lowest polymorph of the same formula**: 3 meV per atom
**N(E_F)**: 1.63 states/eV/atom
**Formation energy from the elements**: 0.162 eV per atom

a b c (Å): 11.160 11.354 5.997
angles (deg): 90.00 113.58 90.00
Space group C2/m (No. 12)
Asymmetric unit:
Sm  0.230  0.000  0.090 (multiplicity 4)
Er  0.000  0.000  0.500 (multiplicity 2)
Er  0.088  0.500  0.301 (multiplicity 4)
Er  0.174  0.236  0.676 (multiplicity 8)
Tm  0.000  0.218  0.000 (multiplicity 4)



4.
Compound: Sr5ThAs4
Source: Alexandria via LeMat-Bulk
Functional: PBE
Structure: optimized geometry

**N(E_F)**: 0.27 states/eV/atom
**Formation energy from the elements**: -1.056 eV per atom

a b c (Å): 19.252 4.475 8.751
angles (deg): 90.00 103.87 90.00
Space group C2/m (No. 12)
Asymmetric unit:
Sr  0.000  0.000  0.000 (multiplicity 2)
Sr  0.163  0.500  0.825 (multiplicity 4)
Sr  0.169  0.500  0.353 (multiplicity 4)
Th  0.000  0.000  0.500 (multiplicity 2)
As  0.002  0.500  0.262 (multiplicity 4)
As  0.162  0.000  0.591 (multiplicity 4)



5.
Compound: InTe4Pb2
Source: Alexandria via LeMat-Bulk
Functional: PBE
Structure: optimized geometry

**N(E_F)**: 0.20 states/eV/atom
**ΔE_f (raw)**: -0.2324 eV per atom

a b c (Å): 8.193 6.568 9.493
angles (deg): 90.00 105.45 90.00
Space group P2_1/m (No. 11)
Asymmetric unit:
In  0.249  0.250  0.319 (multiplicity 2)
Te  0.036  0.017  0.768 (multiplicity 4)
Te  0.426  0.250  0.101 (multiplicity 2)
Te  0.432  0.250  0.611 (multiplicity 2)
Pb  0.234  0.750  0.049 (multiplicity 2)
Pb  0.299  0.750  0.600 (multiplicity 2)



6.
Compound: Ac3AlCu2O9
Source: Alexandria via LeMat-Bulk
Functional: PBE
Structure: optimized geometry

**N(E_F)**: 0.31 states/eV/atom
**ΔE_f (raw)**: -2.3900 eV per atom

a b c (Å): 5.5635 5.5635 6.7873
angles (deg): 90.00 90.00 120.00
Space group P-3m1 (No. 164)
Asymmetric unit:
Ac  0.0000  0.0000  0.0000 (multiplicity 1)
Ac  0.3333  0.6667  0.6653 (multiplicity 2)
Al  0.0000  0.0000  0.5000 (multiplicity 1)
Cu  0.3333  0.6667  0.1685 (multiplicity 2)
O  0.0000  0.5000  0.0000 (multiplicity 3)
O  0.1626  0.3251  0.3380 (multiplicity 6)



7.
Compound: VGe2Au
Source: Alexandria via LeMat-Bulk
Functional: PBE
Structure: optimized geometry

**Distance to the lowest polymorph of the same formula**: 322 meV per atom
**N(E_F)**: 1.25 states/eV/atom
**Formation energy from the elements**: 0.320 eV per atom

a b c (Å): 7.162 7.162 5.696
angles (deg): 90.00 90.00 90.00
Space group I-42d (No. 122)
Asymmetric unit:
V  0.000  0.000  0.000 (multiplicity 4)
Ge  0.248  0.250  0.625 (multiplicity 8)
Au  0.000  0.000  0.500 (multiplicity 4)



8.
Compound: Na2SrPaTe4
Source: Alexandria via LeMat-Bulk
Functional: PBE
Structure: optimized geometry

**N(E_F)**: 0.73 states/eV/atom
**ΔE_f (raw)**: -1.0888 eV per atom

a b c (Å): 6.397 6.397 13.415
angles (deg): 90.00 90.00 90.00
Space group I-4m2 (No. 119)
Asymmetric unit:
Na  0.000  0.000  0.000 (multiplicity 2)
Na  0.000  0.500  0.250 (multiplicity 2)
Sr  0.000  0.500  0.750 (multiplicity 2)
Pa  0.000  0.000  0.500 (multiplicity 2)
Te  0.000  0.000  0.274 (multiplicity 4)
Te  0.000  0.500  0.000 (multiplicity 4)



9.
Compound: TiGeRh6
Source: Alexandria via LeMat-Bulk
Functional: PBE
Structure: optimized geometry

**N(E_F)**: 0.61 states/eV/atom
**Formation energy from the elements**: -0.454 eV per atom

a b c (Å): 5.470 5.470 3.821
angles (deg): 90.00 90.00 90.00
Space group P4/mmm (No. 123)
Asymmetric unit:
Ti  0.000  0.000  0.000 (multiplicity 1)
Ge  0.500  0.500  0.000 (multiplicity 1)
Rh  0.000  0.500  0.000 (multiplicity 2)
Rh  0.251  0.251  0.500 (multiplicity 4)



10.
Compound: NaGa2Ru2
Source: Alexandria via LeMat-Bulk
Functional: PBE
Structure: optimized geometry

**Distance to the lowest polymorph of the same formula**: 177 meV per atom
**N(E_F)**: 0.76 states/eV/atom
**Formation energy from the elements**: 0.110 eV per atom

a b c (Å): 4.558 4.558 9.094
angles (deg): 90.00 90.00 90.00
Space group I4/mmm (No. 139)
Asymmetric unit:
Na  0.000  0.000  0.000 (multiplicity 2)
Ga  0.000  0.500  0.250 (multiplicity 4)
Ru  0.000  0.000  0.371 (multiplicity 4)



11.
Compound: BaTlIr2
Source: Alexandria via LeMat-Bulk
Functional: PBE
Structure: optimized geometry

**N(E_F)**: 0.74 states/eV/atom
**Formation energy from the elements**: 0.606 eV per atom

a b c (Å): 4.634 4.634 4.099
angles (deg): 90.00 90.00 90.00
Space group P4/mmm (No. 123)
Asymmetric unit:
Ba  0.000  0.000  0.000 (multiplicity 1)
Tl  0.500  0.500  0.000 (multiplicity 1)
Ir  0.000  0.500  0.500 (multiplicity 2)



12.
Compound: Ca2Y2Be
Source: Alexandria via LeMat-Bulk
Functional: PBE
Structure: optimized geometry

**Distance to the lowest polymorph of the same formula**: 160 meV per atom
**N(E_F)**: 0.92 states/eV/atom
**Formation energy from the elements**: 0.675 eV per atom

a b c (Å): 4.214 4.214 19.356
angles (deg): 90.00 90.00 90.00
Space group I4/mmm (No. 139)
Asymmetric unit:
Ca  0.000  0.000  0.087 (multiplicity 4)
Y  0.000  0.500  0.250 (multiplicity 4)
Be  0.000  0.000  0.500 (multiplicity 2)